Density functional theory data (PBE-GGA) for a relaxed structure of PmErSi.

Summary:
As for the energy above the most stable polymorph in this dataset: 182.2 meV/atom. Its formation energy (no corrections) is -0.33 eV per atom. The density of states at the Fermi level comes out at 2.2 states/eV/f.u.

Unit cell a=4.809 b=4.821 c=7.179 alpha=90.00 beta=109.53 gamma=90.00
Fractional coordinates of all 6 atoms:
Er 0.884 0.250 0.769
Er 0.116 0.750 0.231
Si 0.251 0.250 0.500
Si 0.749 0.750 0.500
Pm 0.613 0.250 0.225
Pm 0.387 0.750 0.775


Density functional theory data (PBE-GGA) for a relaxed structure of Pm2Er3Si4.

Summary:
Its formation energy (no corrections) is -0.77 eV per atom. The density of states at the Fermi level comes out at 8.0 states/eV/f.u.

Unit cell a=7.427 b=7.684 c=7.734 alpha=90.00 beta=90.00 gamma=107.06
Fractional coordinates of all 18 atoms:
Pm 0.582 0.198 0.323
Pm 0.918 0.802 0.823
Pm 0.418 0.802 0.677
Pm 0.082 0.198 0.177
Er 0.000 0.500 0.500
Er 0.500 0.500 0.000
Er 0.753 0.245 0.820
Er 0.747 0.755 0.320
Er 0.247 0.755 0.180
Er 0.253 0.245 0.680
Si 0.875 0.079 0.532
Si 0.625 0.921 0.032
Si 0.125 0.921 0.468
Si 0.375 0.079 0.968
Si 0.876 0.493 0.119
Si 0.624 0.507 0.619
Si 0.124 0.507 0.881
Si 0.376 0.493 0.381


Density functional theory data (PBE-GGA) for a relaxed structure of Pm2ErSi2.

Summary:
As for the energy above the most stable polymorph in this dataset: 0.0 meV/atom. Its formation energy (no corrections) is -0.71 eV per atom. The density of states at the Fermi level comes out at 4.1 states/eV/f.u.

Unit cell a=4.357 b=7.550 c=7.550 alpha=90.00 beta=90.00 gamma=90.00
Fractional coordinates of all 10 atoms:
Pm 0.500 0.177 0.677
Pm 0.500 0.677 0.823
Pm 0.500 0.823 0.323
Pm 0.500 0.323 0.177
Er 0.000 0.000 0.000
Er 0.000 0.500 0.500
Si 0.000 0.385 0.885
Si 0.000 0.885 0.615
Si 0.000 0.615 0.115
Si 0.000 0.115 0.385


Density functional theory data (PBE-GGA) for a relaxed structure of Pm4ErSi4.

Summary:
Its formation energy (no corrections) is -0.49 eV per atom. The density of states at the Fermi level comes out at 8.4 states/eV/f.u.

Unit cell a=6.013 b=8.917 c=8.917 alpha=90.00 beta=90.00 gamma=90.00
Fractional coordinates of all 18 atoms:
Pm 0.364 0.306 0.920
Pm 0.864 0.580 0.806
Pm 0.364 0.694 0.080
Pm 0.136 0.194 0.580
Pm 0.636 0.920 0.694
Pm 0.136 0.806 0.420
Pm 0.864 0.420 0.194
Pm 0.636 0.080 0.306
Er 0.000 0.000 0.000
Er 0.500 0.500 0.500
Si 0.648 0.759 0.369
Si 0.648 0.241 0.631
Si 0.148 0.869 0.741
Si 0.852 0.259 0.869
Si 0.852 0.741 0.131
Si 0.352 0.369 0.241
Si 0.352 0.631 0.759
Si 0.148 0.131 0.259